Compound: CaVSe2
Source: the Alexandria database
Functional: PBE
Structure: relaxed

```
CaVSe2
1.0
2.1981 0.0000 8.4404
-1.0991 1.9036 8.4404
-1.0991 -1.9036 8.4404
Ca Se V
1 2 1
Direct
0.0000 0.0000 0.0000
0.1120 0.1120 0.1120
0.8880 0.8880 0.8880
0.5000 0.5000 0.5000
```

Calculated values
**Raw formation energy**: -677 meV per atom